Computed, not measured: PtS after structural relaxation at the PBE-GGA level of DFT.

For the raw formation energy, the calculation gives -0.420 eV/atom. For the total DFT energy (no corrections), the calculation gives -22.017 eV/cell.

The structure belongs to space group P4_2/mmc (No. 131); the cell edges are 3.531, 3.531 and 6.121 Å and the angles 90.00°, 90.00° and 90.00°. The asymmetric unit holds Pt at (0.000, 0.500, 0.000) and S at (0.000, 0.000, 0.250).


Computed, not measured: PtS after structural relaxation at the PBE-GGA level of DFT.

For the raw formation energy, the calculation gives 0.019 eV/atom. For the total DFT energy (no corrections), the calculation gives -40.518 eV/cell.

The structure belongs to space group I4/mmm (No. 139); the cell edges are 3.510, 3.510 and 10.811 Å and the angles 90.00°, 90.00° and 90.00°. The asymmetric unit holds Pt at (0.000, 0.000, 0.123) and S at (0.000, 0.000, 0.353).


Computed, not measured: PtS after structural relaxation at the PBE-GGA level of DFT.

For the raw formation energy, the calculation gives -0.073 eV/atom. For the total DFT energy (no corrections), the calculation gives -41.258 eV/cell.

The structure belongs to space group Cm (No. 8); the cell edges are 7.539, 3.486 and 6.826 Å and the angles 90.00°, 121.36° and 90.00°. The asymmetric unit holds Pt at (0.000, 0.000, 0.000), Pt at (0.148, 0.500, 0.571), S at (0.425, 0.000, 0.171) and S at (0.483, 0.500, 0.647).


Computed, not measured: PtS after structural relaxation at the PBE-GGA level of DFT.

For the raw formation energy, the calculation gives 0.069 eV/atom. For the total DFT energy (no corrections), the calculation gives -160.479 eV/cell.

The structure belongs to space group Fddd (No. 70, origin choice 2); the cell edges are 4.803, 11.405 and 13.178 Å and the angles 90.00°, 90.00° and 90.00°. The asymmetric unit holds Pt at (0.125, 0.278, 0.125) and S at (0.125, 0.125, 0.006).


Computed, not measured: PtS after structural relaxation at the PBE-GGA level of DFT.

For the raw formation energy, the calculation gives -0.010 eV/atom. For the total DFT energy (no corrections), the calculation gives -61.129 eV/cell.

The structure belongs to space group P6_3/m (No. 176); the cell edges are 9.0974, 9.0974 and 3.9652 Å and the angles 90.00°, 90.00° and 120.00°. The asymmetric unit holds Pt at (0.0522, 0.6286, 0.2500) and S at (0.1093, 0.3998, 0.2500).


Computed, not measured: PtS4 after structural relaxation at the PBE-GGA level of DFT.

For the raw formation energy, the calculation gives -0.028 eV/atom. For the total DFT energy (no corrections), the calculation gives -22.690 eV/cell.

The structure belongs to space group P-1 (No. 2); the cell edges are 3.589, 4.884 and 7.528 Å and the angles 92.41°, 90.95° and 107.58°. The asymmetric unit holds Pt at (0.000, 0.000, 0.000), S at (0.376, 0.852, 0.598) and S at (0.455, 0.869, 0.180).